No. 1
A plane-wave DFT calculation with GGA-PBE was carried out for a relaxed Ca2FeBr crystal.

## Properties
Total magnetic moment in μB/f.u.: 1.8
Uncorrected formation energy in eV per atom: -0.188
Volume in A^3/atom: 25.22

Cell: 5.4018 5.4018 3.4575 Å, 90.00 90.00 90.27°
Last column: nearest neighbours and their distance in Å.
Atoms (fractional coordinates):
Ca: 0.0000 0.5000 0.0000  4 Fe 3.21, 4 Br 3.21, 2 Ca 3.46
Ca: 0.5000 0.0000 0.0000  4 Fe 3.21, 4 Br 3.21, 2 Ca 3.46
Fe: 0.0000 0.0000 0.5000  8 Ca 3.21, 2 Fe 3.46
Br: 0.5000 0.5000 0.5000  8 Ca 3.21, 2 Br 3.46

***

No. 2
A plane-wave DFT calculation with GGA-PBE was carried out for a relaxed PrNdIrRu crystal.

## Properties
Energy relative to the elements in meV per atom: -279
Total magnetic moment in μB/f.u.: 0.0
Volume in A^3/atom: 22.29

Cell: 5.0149 5.0149 5.0149 Å, 60.00 60.00 60.00°
Last column: nearest neighbours and their distance in Å.
Atoms (fractional coordinates):
Pr: 0.0000 0.0000 0.0000  4 Ru 3.07, 4 Ir 3.07
Nd: 0.5000 0.5000 0.5000  4 Ir 3.07, 4 Ru 3.07
Ir: 0.2500 0.2500 0.2500  4 Pr 3.07, 4 Nd 3.07
Ru: 0.7500 0.7500 0.7500  4 Nd 3.07, 4 Pr 3.07

***

No. 3
A plane-wave DFT calculation with GGA-PBE was carried out for a relaxed ReSiIr2 crystal.

## Properties
Total magnetic moment in μB/f.u.: 0.0
Uncorrected formation energy in eV per atom: -0.248
Volume in A^3/atom: 14.32

Cell: 2.8034 3.8746 5.4533 Å, 90.00 104.80 90.00°
Last column: nearest neighbours and their distance in Å.
Atoms (fractional coordinates):
Re: 0.0000 0.0000 0.0000  2 Si 2.55, 7 Ir 2.66-2.84, 2 Re 2.80
Si: 0.1589 0.5000 0.3147  5 Ir 2.44-2.52, 2 Re 2.55
Ir: 0.3897 0.5000 0.7774  1 Si 2.44, 4 Re 2.66
Ir: 0.7299 0.0000 0.4610  4 Si 2.51-2.52, 2 Ir 2.80, 2 Re 2.80-2.81

***

No. 4
A plane-wave DFT calculation with GGA-PBE was carried out for a relaxed SmTm5Al4 crystal.

## Properties
Energy relative to the elements in meV per atom: -311
Total magnetic moment in μB/f.u.: 0.0
Volume in A^3/atom: 24.40

Cell: 3.5420 3.5420 19.4515 Å, 90.00 90.00 90.00°
Last column: nearest neighbours and their distance in Å.
Atoms (fractional coordinates):
Sm: 0.0000 0.0000 0.0000  4 Sm 3.54, 8 Tm 3.58
Tm: 0.5000 0.5000 0.1317  4 Al 3.09
Tm: 0.5000 0.5000 0.3171  8 Al 3.07-3.08
Tm: 0.5000 0.5000 0.5000  8 Al 3.07
Tm: 0.5000 0.5000 0.6829  8 Al 3.07-3.08
Tm: 0.5000 0.5000 0.8683  4 Al 3.09
Al: 0.0000 0.0000 0.2246  8 Tm 3.08-3.09
Al: 0.0000 0.0000 0.4083  8 Tm 3.07
Al: 0.0000 0.0000 0.5917  8 Tm 3.07
Al: 0.0000 0.0000 0.7754  8 Tm 3.08-3.09

***

No. 5
A plane-wave DFT calculation with GGA-PBE was carried out for a relaxed InTeIO2 crystal.

## Properties
Total magnetic moment in μB/f.u.: 0.0
Uncorrected formation energy in eV per atom: -0.292
Volume in A^3/atom: 23.95

Cell: 4.2939 4.2939 6.4947 Å, 90.00 90.00 90.00°
Last column: nearest neighbours and their distance in Å.
Atoms (fractional coordinates):
In: 0.0000 0.0000 0.0000  4 I 3.04
Te: 0.5000 0.5000 0.5000  4 O 2.15
I: 0.5000 0.5000 0.0000  4 In 3.04, 2 Te 3.25
O: 0.0000 0.5000 0.5000  2 Te 2.15
O: 0.5000 0.0000 0.5000  2 Te 2.15

***

No. 6
A plane-wave DFT calculation with GGA-PBE was carried out for a relaxed Ca4Tc5 crystal.

## Properties
Energy relative to the elements in meV per atom: 942
Total magnetic moment in μB/f.u.: 0.0
Volume in A^3/atom: 19.14

Cell: 8.5103 8.5103 5.4933 Å, 90.00 90.00 120.00°
Last column: nearest neighbours and their distance in Å.
Atoms (fractional coordinates):
Ca: 0.0000 0.0000 0.0000  8 Ca 2.75-2.86
Ca: 0.0000 0.0000 0.5000  8 Ca 2.75-2.86
Ca: 0.0000 0.2951 0.2500  1 Tc 2.44
Ca: 0.0000 0.7049 0.7500  1 Tc 2.44
Ca: 0.2951 0.0000 0.2500  1 Tc 2.44
Ca: 0.2951 0.2951 0.7500  1 Tc 2.44
Ca: 0.7049 0.0000 0.7500  1 Tc 2.44
Ca: 0.7049 0.7049 0.2500  1 Tc 2.44
Tc: 0.0000 0.4178 0.7500  1 Ca 2.44
Tc: 0.0000 0.5822 0.2500  1 Ca 2.44
Tc: 0.3333 0.6667 0.0000  8 Tc 2.75-2.90
Tc: 0.3333 0.6667 0.5000  8 Tc 2.75-2.90
Tc: 0.4178 0.0000 0.7500  1 Ca 2.44
Tc: 0.4178 0.4178 0.2500  1 Ca 2.44
Tc: 0.5822 0.0000 0.2500  1 Ca 2.44
Tc: 0.5822 0.5822 0.7500  1 Ca 2.44
Tc: 0.6667 0.3333 0.0000  8 Tc 2.75-2.90
Tc: 0.6667 0.3333 0.5000  8 Tc 2.75-2.90

***

Number 2 is which compound?
PrNdIrRu

***

Which value of total magnetic moment does entry 5 give?
0.0 μB/f.u.

***

Which value of total magnetic moment does entry 2 give?
0.0 μB/f.u.

***

Look up the total magnetic moment of the third one.
0.0 μB/f.u.